[1]
VASP calculation (PBE) on a relaxed KNi3 crystal.

Excess energy over the best structure of this formula in the dataset, eV per atom: 0.3709
Energy of formation, eV per atom: 0.901
N(E_F), states/eV per cell: 5.15

```
data_KNi3
_cell_length_a 4.953
_cell_length_b 4.953
_cell_length_c 2.592
_cell_angle_alpha 90.00
_cell_angle_beta 90.00
_cell_angle_gamma 112.14
_symmetry_space_group_name_H-M 'P 1'
_symmetry_Int_Tables_number 1
_symmetry_space_group_name_Hall 'P 1'
loop_
_atom_site_label
_atom_site_type_symbol
_atom_site_fract_x
_atom_site_fract_y
_atom_site_fract_z
Ni1 Ni 0.500 0.000 0.500
Ni2 Ni 0.000 0.500 0.500
Ni3 Ni 0.500 0.500 0.000
K1 K 0.000 0.000 0.000
```

=====

[2]
VASP calculation (PBE) on a relaxed K3Ni2 crystal.

Energy of formation, eV per atom: 0.528
N(E_F), states/eV per cell: 9.71

```
data_K3Ni2
_cell_length_a 12.856
_cell_length_b 11.192
_cell_length_c 7.049
_cell_angle_alpha 86.48
_cell_angle_beta 60.34
_cell_angle_gamma 33.18
_symmetry_space_group_name_H-M 'P 1'
_symmetry_Int_Tables_number 1
_symmetry_space_group_name_Hall 'P 1'
loop_
_atom_site_label
_atom_site_type_symbol
_atom_site_fract_x
_atom_site_fract_y
_atom_site_fract_z
K1 K 0.121 0.379 0.379
K2 K 0.468 0.782 0.798
K3 K 0.952 0.798 0.782
K4 K 0.871 0.129 0.129
K5 K 0.452 0.298 0.782
K6 K 0.468 0.782 0.298
Ni1 Ni 0.086 0.386 0.904
Ni2 Ni 0.623 0.904 0.386
Ni3 Ni 0.346 0.627 0.164
Ni4 Ni 0.864 0.164 0.627
```

=====

Summary of calculated total energy in eV/cell
-14.84, -24.43
(order as listed above)
Summary of theoretical density in kg/m³
6068, 2411
(order as listed above)